Computed, not measured: Ba3SnS4 after structural relaxation at the GGA-PBEsol level of DFT.

- Formation energy without anion corrections: -1264 kJ/mol of formula units
- Total magnetization: 0.000 μB/f.u.

Structure (CIF):
```
data_Ba3SnS4
_chemical_formula_sum 'Ba3 Sn1 S4'
_symmetry_space_group_name_H-M 'P m -3 m'
_symmetry_Int_Tables_number 221
_symmetry_space_group_name_Hall '-P 4 2 3'
_cell_length_a 6.233
_cell_length_b 6.233
_cell_length_c 6.233
_cell_angle_alpha 90.00
_cell_angle_beta 90.00
_cell_angle_gamma 90.00
loop_
_atom_site_label
_atom_site_fract_x
_atom_site_fract_y
_atom_site_fract_z
_atom_site_occupancy
Ba1 0.000 0.000 0.500 1
Sn1 0.500 0.500 0.500 1
S1 0.000 0.000 0.000 1
S2 0.000 0.500 0.500 1
```

Computed, not measured: BaSnS3 after structural relaxation at the GGA-PBEsol level of DFT.

- Formation energy without anion corrections: -555 kJ/mol of formula units
- Total magnetization: 0.000 μB/f.u.

Structure (CIF):
```
data_BaSnS3
_chemical_formula_sum 'Ba4 Sn4 S12'
_symmetry_space_group_name_H-M 'P n m a'
_symmetry_Int_Tables_number 62
_cell_length_a 8.413
_cell_length_b 3.929
_cell_length_c 14.556
_cell_angle_alpha 90.00
_cell_angle_beta 90.00
_cell_angle_gamma 90.00
loop_
_symmetry_equiv_pos_as_xyz
'x,y,z'
'-x,-y,-z'
'-x+1/2,-y,z+1/2'
'x+1/2,y,-z+1/2'
'x+1/2,-y+1/2,-z+1/2'
'-x+1/2,y+1/2,z+1/2'
'-x,y+1/2,-z'
'x,-y+1/2,z'
loop_
_atom_site_label
_atom_site_fract_x
_atom_site_fract_y
_atom_site_fract_z
_atom_site_occupancy
Ba1 0.081 0.250 0.174 1
Sn1 0.170 0.750 0.442 1
S1 0.029 0.750 0.602 1
S2 0.156 0.750 0.002 1
S3 0.206 0.250 0.789 1
```

Computed, not measured: BaTiTc2S after structural relaxation at the GGA-PBEsol level of DFT.

- Formation energy without anion corrections: 1329 kJ/mol of formula units
- Total magnetization: 2.559 μB/f.u.

Structure (CIF):
```
data_BaTiTc2S
_chemical_formula_sum 'Ba1 Ti1 Tc2 S1'
_symmetry_space_group_name_H-M 'P 4/m m m'
_symmetry_Int_Tables_number 123
_symmetry_space_group_name_Hall '-P 4 2'
_cell_length_a 4.907
_cell_length_b 4.907
_cell_length_c 4.972
_cell_angle_alpha 90.00
_cell_angle_beta 90.00
_cell_angle_gamma 90.00
loop_
_atom_site_label
_atom_site_fract_x
_atom_site_fract_y
_atom_site_fract_z
_atom_site_occupancy
Ba1 0.000 0.000 0.000 1
Ti1 0.000 0.000 0.500 1
Tc1 0.000 0.500 0.000 1
S1 0.500 0.500 0.500 1
```

Computed, not measured: BaTh2S5 after structural relaxation at the GGA-PBEsol level of DFT.

- Formation energy without anion corrections: -1631 kJ/mol of formula units
- Total magnetization: 0.000 μB/f.u.

Structure (CIF):
```
data_BaTh2S5
_chemical_formula_sum 'Ba4 Th8 S20'
_symmetry_space_group_name_H-M 'P 1 21/c 1'
_symmetry_Int_Tables_number 14
_cell_length_a 8.566
_cell_length_b 7.578
_cell_length_c 11.965
_cell_angle_alpha 90.00
_cell_angle_beta 90.24
_cell_angle_gamma 90.00
loop_
_symmetry_equiv_pos_as_xyz
'x,y,z'
'-x,-y,-z'
'-x,y+1/2,-z+1/2'
'x,-y+1/2,z+1/2'
loop_
_atom_site_label
_atom_site_fract_x
_atom_site_fract_y
_atom_site_fract_z
_atom_site_occupancy
Ba1 0.009 0.051 0.332 1
Th1 0.253 0.571 0.490 1
Th2 0.499 0.523 0.179 1
S1 0.039 0.176 0.077 1
S2 0.273 0.692 0.717 1
S3 0.285 0.166 0.812 1
S4 0.288 0.547 0.998 1
S5 0.458 0.162 0.100 1
```

Computed, not measured: BaTiS3 after structural relaxation at the GGA-PBEsol level of DFT.

- Formation energy without anion corrections: -804 kJ/mol of formula units
- Total magnetization: 0.000 μB/f.u.

Structure (CIF):
```
data_BaTiS3
_chemical_formula_sum 'Ba1 Ti1 S3'
_symmetry_space_group_name_H-M 'P m -3 m'
_symmetry_Int_Tables_number 221
_symmetry_space_group_name_Hall '-P 4 2 3'
_cell_length_a 4.766
_cell_length_b 4.766
_cell_length_c 4.766
_cell_angle_alpha 90.00
_cell_angle_beta 90.00
_cell_angle_gamma 90.00
loop_
_atom_site_label
_atom_site_fract_x
_atom_site_fract_y
_atom_site_fract_z
_atom_site_occupancy
Ba1 0.000 0.000 0.000 1
Ti1 0.500 0.500 0.500 1
S1 0.000 0.500 0.500 1
```

Computed, not measured: BaY3S after structural relaxation at the GGA-PBEsol level of DFT.

- Formation energy without anion corrections: -289 kJ/mol of formula units
- Total magnetization: 0.002 μB/f.u.

Structure (CIF):
```
data_BaY3S
_chemical_formula_sum 'Ba1 Y3 S1'
_symmetry_space_group_name_H-M 'P m -3 m'
_symmetry_Int_Tables_number 221
_symmetry_space_group_name_Hall '-P 4 2 3'
_cell_length_a 5.370
_cell_length_b 5.370
_cell_length_c 5.370
_cell_angle_alpha 90.00
_cell_angle_beta 90.00
_cell_angle_gamma 90.00
loop_
_atom_site_label
_atom_site_fract_x
_atom_site_fract_y
_atom_site_fract_z
_atom_site_occupancy
Ba1 0.000 0.000 0.000 1
Y1 0.000 0.500 0.500 1
S1 0.500 0.500 0.500 1
```

Computed, not measured: Ba3YS after structural relaxation at the GGA-PBEsol level of DFT.

- Formation energy without anion corrections: 237 kJ/mol of formula units
- Total magnetization: 0.001 μB/f.u.

Structure (CIF):
```
data_Ba3YS
_chemical_formula_sum 'Ba3 Y1 S1'
_symmetry_space_group_name_H-M 'P m -3 m'
_symmetry_Int_Tables_number 221
_symmetry_space_group_name_Hall '-P 4 2 3'
_cell_length_a 6.032
_cell_length_b 6.032
_cell_length_c 6.032
_cell_angle_alpha 90.00
_cell_angle_beta 90.00
_cell_angle_gamma 90.00
loop_
_atom_site_label
_atom_site_fract_x
_atom_site_fract_y
_atom_site_fract_z
_atom_site_occupancy
Ba1 0.000 0.000 0.500 1
Y1 0.000 0.000 0.000 1
S1 0.500 0.500 0.500 1
```

Computed, not measured: BaZnS2 after structural relaxation at the GGA-PBEsol level of DFT.

- Formation energy without anion corrections: -529 kJ/mol of formula units
- Total magnetization: 0.000 μB/f.u.

Structure (CIF):
```
data_BaZnS2
_chemical_formula_sum 'Ba4 Zn4 S8'
_symmetry_space_group_name_H-M 'I -4 2 d'
_symmetry_Int_Tables_number 122
_symmetry_space_group_name_Hall 'I -4 2bw'
_cell_length_a 7.082
_cell_length_b 7.082
_cell_length_c 7.680
_cell_angle_alpha 90.00
_cell_angle_beta 90.00
_cell_angle_gamma 90.00
loop_
_atom_site_label
_atom_site_fract_x
_atom_site_fract_y
_atom_site_fract_z
_atom_site_occupancy
Ba1 0.000 0.000 0.000 1
Zn1 0.000 0.000 0.500 1
S1 0.165 0.250 0.625 1
```

Q: What is the formula in the sixth record?
A: BaY3S

Q: What is the formula in the seventh record?
A: Ba3YS

Q: Number 5 is which compound?
A: BaTiS3